Entry 1:
## Cs2NaTi3F12 (GGA-PBE)

Data for crystalline Cs2NaTi3F12 at its relaxed geometry.

abc: 7.6034 7.6034 7.6034
angles: 60.82 60.82 60.82
Sites, in units of the cell vectors:
F1 0.0848 0.6924 0.6924
F2 0.3076 0.3076 0.9152
F3 0.9129 0.9129 0.3668
F4 0.9152 0.3076 0.3076
F5 0.9129 0.3668 0.9129
F6 0.3076 0.9152 0.3076
F7 0.6924 0.0848 0.6924
F8 0.0871 0.0871 0.6332
F9 0.6924 0.6924 0.0848
F10 0.6332 0.0871 0.0871
F11 0.3668 0.9129 0.9129
F12 0.0871 0.6332 0.0871
Ti1 0.0000 0.5000 0.0000
Ti2 0.5000 0.0000 0.0000
Ti3 0.0000 0.0000 0.5000
Na1 0.0000 0.0000 0.0000
Cs1 0.6209 0.6209 0.6209
Cs2 0.3791 0.3791 0.3791

Fermi-level density of states (states/eV per atom): 0.299
Space-group type: R-3m (166)
Energy relative to the elements, uncorrected (eV/atom): -3.212

Entry 2:
## CsNaTl2F4 (GGA-PBE)

Data for crystalline CsNaTl2F4 at its relaxed geometry.

abc: 7.9693 7.9693 7.8466
angles: 119.44 119.44 91.11
Sites, in units of the cell vectors:
Tl1 0.5000 0.0000 0.0000
Tl2 0.5000 0.5000 0.0000
Tl3 0.0000 0.0000 0.5000
Tl4 0.5000 0.0000 0.5000
F1 0.7836 0.1927 0.9881
F2 0.3073 0.7164 0.5119
F3 0.2164 0.8073 0.0119
F4 0.6927 0.2836 0.4881
F5 0.2537 0.2438 0.0009
F6 0.7463 0.7562 0.9991
F7 0.7438 0.7537 0.5009
F8 0.2562 0.2463 0.4991
Cs1 0.0000 0.5000 0.0000
Cs2 0.0000 0.5000 0.5000
Na1 0.5000 0.5000 0.5000
Na2 0.0000 0.0000 0.0000

Fermi-level density of states (states/eV per atom): 0.000
Space-group type: C2/c (15)
Energy relative to the elements, uncorrected (eV/atom): -2.129

Entry 3:
## CsNaTlF6 (GGA-PBE)

Data for crystalline CsNaTlF6 at its relaxed geometry.

abc: 7.3887 8.3457 8.0935
angles: 121.04 117.16 90.00
Sites, in units of the cell vectors:
Cs1 0.8832 0.6332 0.7663
Cs2 0.1168 0.3668 0.2337
F1 0.8308 0.6676 0.2412
F2 0.4105 0.0736 0.2412
F3 0.8308 0.0736 0.2412
F4 0.4260 0.6760 0.8519
F5 0.5895 0.9264 0.7588
F6 0.1692 0.3324 0.7588
F7 0.8627 0.1127 0.7255
F8 0.5740 0.3240 0.1481
F9 0.1373 0.8873 0.2745
F10 0.4105 0.6676 0.2412
F11 0.5895 0.3324 0.7588
F12 0.1692 0.9264 0.7588
Na1 0.5000 0.0000 0.5000
Na2 0.0000 0.0000 0.5000
Tl1 0.5000 0.0000 0.0000
Tl2 0.5000 0.5000 0.0000

Fermi-level density of states (states/eV per atom): 0.501
Space-group type: Imma (74)
Energy relative to the elements, uncorrected (eV/atom): -2.033

Entry 4:
## Cs3NaTl2F9 (GGA-PBE)

Data for crystalline Cs3NaTl2F9 at its relaxed geometry.

abc: 6.5578 6.5578 8.0740
angles: 90.00 90.00 120.00
Sites, in units of the cell vectors:
F1 0.5000 0.5000 0.0000
F2 0.1693 0.3387 0.3282
F3 0.8307 0.6613 0.6718
F4 0.8307 0.1693 0.6718
F5 0.1693 0.8307 0.3282
F6 0.0000 0.5000 0.0000
F7 0.3387 0.1693 0.6718
F8 0.5000 0.0000 0.0000
F9 0.6613 0.8307 0.3282
Cs1 0.3333 0.6667 0.6544
Cs2 0.6667 0.3333 0.3456
Cs3 0.0000 0.0000 0.0000
Tl1 0.3333 0.6667 0.1714
Tl2 0.6667 0.3333 0.8286
Na1 0.0000 0.0000 0.5000

Fermi-level density of states (states/eV per atom): 0.170
Space-group type: P-3m1 (164)
Energy relative to the elements, uncorrected (eV/atom): -2.363

Entry 5:
## Cs4Na3UF12 (GGA-PBE)

Data for crystalline Cs4Na3UF12 at its relaxed geometry.

abc: 8.0105 8.0105 8.0105
angles: 109.47 109.47 109.47
Sites, in units of the cell vectors:
F1 0.2500 0.7500 0.5000
F2 0.7500 0.2500 0.5000
F3 0.2250 0.0000 0.2250
F4 0.7500 0.5000 0.2500
F5 0.2250 0.2250 0.0000
F6 0.0000 0.2250 0.2250
F7 0.2500 0.5000 0.7500
F8 0.5000 0.2500 0.7500
F9 0.5000 0.7500 0.2500
F10 0.7750 0.7750 0.0000
F11 0.7750 0.0000 0.7750
F12 0.0000 0.7750 0.7750
Na1 0.5000 0.0000 0.5000
Na2 0.0000 0.5000 0.5000
Na3 0.5000 0.5000 0.0000
Cs1 0.5000 0.5000 0.5000
Cs2 0.0000 0.5000 0.0000
Cs3 0.0000 0.0000 0.5000
Cs4 0.5000 0.0000 0.0000
U1 0.0000 0.0000 0.0000

Fermi-level density of states (states/eV per atom): 0.679
Space-group type: Im-3m (229)
Energy relative to the elements, uncorrected (eV/atom): -2.905

Calculated values (μB per cell) of M_tot for the records, taken in order: 3.0; 0.0; 2.0; 0.0; 1.4.